# 1
The following is a DFT calculation (GGA-PBE) of a relaxed NdPa2P4 crystal.

Geometry as CIF:
```
data_NdPa2P4
_chemical_formula_sum 'Nd4 Pa8 P16'
_space_group_name_H-M_alt 'C m c m'
_space_group_IT_number 63
_space_group_name_Hall '-C 2c 2'
_cell_length_a 4.004
_cell_length_b 13.331
_cell_length_c 12.806
_cell_angle_alpha 90.00
_cell_angle_beta 90.00
_cell_angle_gamma 90.00
loop_
_atom_site_label
_atom_site_type_symbol
_atom_site_fract_x
_atom_site_fract_y
_atom_site_fract_z
Nd1 Nd 0.000 0.114 0.250
Pa1 Pa 0.000 0.370 0.064
P1 P 0.000 0.000 0.000
P2 P 0.000 0.265 0.622
P3 P 0.000 0.459 0.250
```

Results
E = -7.5667 eV per atom
Total magnetization = 0.00 μB/f.u.
D(E_F) = 0.324 states/eV/atom
Formation energy from the elements = -1.0811 eV per atom



# 2
The following is a DFT calculation (GGA-PBE) of a relaxed NdPa5P6 crystal.

Geometry as CIF:
```
data_NdPa5P6
_chemical_formula_sum 'Nd2 Pa10 P12'
_space_group_name_H-M_alt 'C 1 2/m 1'
_space_group_IT_number 12
_cell_length_a 6.922
_cell_length_b 11.986
_cell_length_c 6.920
_cell_angle_alpha 90.00
_cell_angle_beta 109.49
_cell_angle_gamma 90.00
loop_
_space_group_symop_operation_xyz
'x,y,z'
'-x,-y,-z'
'-x,y,-z'
'x,-y,z'
'x+1/2,y+1/2,z'
'-x+1/2,-y+1/2,-z'
'-x+1/2,y+1/2,-z'
'x+1/2,-y+1/2,z'
loop_
_atom_site_label
_atom_site_type_symbol
_atom_site_fract_x
_atom_site_fract_y
_atom_site_fract_z
Nd1 Nd 0.000 0.000 0.000
Pa1 Pa 0.000 0.163 0.500
Pa2 Pa 0.000 0.333 0.000
Pa3 Pa 0.000 0.500 0.500
P1 P 0.244 0.500 0.252
P2 P 0.245 0.330 0.745
```

Results
E = -8.4104 eV per atom
Total magnetization = 0.00 μB/f.u.
D(E_F) = 0.970 states/eV/atom
Formation energy from the elements = -1.3516 eV per atom



# 3
The following is a DFT calculation (GGA-PBE) of a relaxed Nd3Pa5P12 crystal.

Geometry as CIF:
```
data_Nd3Pa5P12
_chemical_formula_sum 'Nd24 Pa40 P96'
_space_group_name_H-M_alt 'I a -3 d'
_space_group_IT_number 230
_space_group_name_Hall '-I 4bd 2c 3'
_cell_length_a 16.344
_cell_length_b 16.344
_cell_length_c 16.344
_cell_angle_alpha 90.00
_cell_angle_beta 90.00
_cell_angle_gamma 90.00
loop_
_atom_site_label
_atom_site_type_symbol
_atom_site_fract_x
_atom_site_fract_y
_atom_site_fract_z
Nd1 Nd 0.000 0.250 0.125
Pa1 Pa 0.000 0.000 0.000
Pa2 Pa 0.000 0.250 0.375
P1 P 0.021 0.068 0.652
```

Results
E = -6.9693 eV per atom
Total magnetization = 0.00 μB/f.u.
D(E_F) = 0.624 states/eV/atom
Formation energy from the elements = -0.6343 eV per atom



Which value of E does entry 3 give? -6.9693 eV per atom



Please write out number 1 again, unchanged.
The following is a DFT calculation (GGA-PBE) of a relaxed NdPa2P4 crystal.

Geometry as CIF:
```
data_NdPa2P4
_chemical_formula_sum 'Nd4 Pa8 P16'
_space_group_name_H-M_alt 'C m c m'
_space_group_IT_number 63
_space_group_name_Hall '-C 2c 2'
_cell_length_a 4.004
_cell_length_b 13.331
_cell_length_c 12.806
_cell_angle_alpha 90.00
_cell_angle_beta 90.00
_cell_angle_gamma 90.00
loop_
_atom_site_label
_atom_site_type_symbol
_atom_site_fract_x
_atom_site_fract_y
_atom_site_fract_z
Nd1 Nd 0.000 0.114 0.250
Pa1 Pa 0.000 0.370 0.064
P1 P 0.000 0.000 0.000
P2 P 0.000 0.265 0.622
P3 P 0.000 0.459 0.250
```

Results
E = -7.5667 eV per atom
Total magnetization = 0.00 μB/f.u.
D(E_F) = 0.324 states/eV/atom
Formation energy from the elements = -1.0811 eV per atom



Number 2 is which compound? NdPa5P6